1.
# CaGdPdPb

A relaxed structure of CaGdPdPb (GGA-PBE, Alexandria).

Cell lengths 5.2489, 5.2489, 5.2489 Å; angles 60.00, 60.00, 60.00 degrees
Atoms (fractional coordinates):
Ca1 0.0000 0.0000 0.0000
Gd1 0.5000 0.5000 0.5000
Pd1 0.2500 0.2500 0.2500
Pb1 0.7500 0.7500 0.7500

Summary:
Total DFT energy (no corrections) in Ha/atom: -0.2515
DOS(E_F) in states/eV/atom: 0.694
DFT formation energy in eV per atom: -0.597



2.
# CaGdPtPb

A relaxed structure of CaGdPtPb (GGA-PBE, Alexandria).

Cell lengths 5.2233, 5.2233, 5.2233 Å; angles 60.00, 60.00, 60.00 degrees
Atoms (fractional coordinates):
Ca1 0.0000 0.0000 0.0000
Gd1 0.5000 0.5000 0.5000
Pt1 0.7500 0.7500 0.7500
Pb1 0.2500 0.2500 0.2500

Summary:
Total DFT energy (no corrections) in Ha/atom: -0.2625
DOS(E_F) in states/eV/atom: 0.763
DFT formation energy in eV per atom: -0.685



3.
# CaGdRhPb

A relaxed structure of CaGdRhPb (GGA-PBE, Alexandria).

Cell lengths 5.1855, 5.1855, 5.1855 Å; angles 60.00, 60.00, 60.00 degrees
Atoms (fractional coordinates):
Ca1 0.0000 0.0000 0.0000
Gd1 0.5000 0.5000 0.5000
Rh1 0.7500 0.7500 0.7500
Pb1 0.2500 0.2500 0.2500

Summary:
Total DFT energy (no corrections) in Ha/atom: -0.2654
DOS(E_F) in states/eV/atom: 0.600
DFT formation energy in eV per atom: -0.435



4.
# CaGdSnPb

A relaxed structure of CaGdSnPb (GGA-PBE, Alexandria).

Cell lengths 5.4786, 5.4786, 5.4786 Å; angles 60.00, 60.00, 60.00 degrees
Atoms (fractional coordinates):
Ca1 0.0000 0.0000 0.0000
Gd1 0.5000 0.5000 0.5000
Sn1 0.7500 0.7500 0.7500
Pb1 0.2500 0.2500 0.2500

Summary:
Total DFT energy (no corrections) in Ha/atom: -0.2377
DOS(E_F) in states/eV/atom: 0.827
DFT formation energy in eV per atom: -0.519



5.
# CaGdZnPb

A relaxed structure of CaGdZnPb (GGA-PBE, Alexandria).

Cell lengths 5.3444, 5.3444, 5.3444 Å; angles 60.00, 60.00, 60.00 degrees
Atoms (fractional coordinates):
Ca1 0.0000 0.0000 0.0000
Gd1 0.5000 0.5000 0.5000
Zn1 0.7500 0.7500 0.7500
Pb1 0.2500 0.2500 0.2500

Summary:
Total DFT energy (no corrections) in Ha/atom: -0.2079
DOS(E_F) in states/eV/atom: 1.264
DFT formation energy in eV per atom: -0.392



6.
# CaGd2Pd

A relaxed structure of CaGd2Pd (GGA-PBE, Alexandria).

Cell lengths 3.5927, 3.5927, 9.2834 Å; angles 90.00, 90.00, 90.00 degrees
Atoms (fractional coordinates):
Ca1 0.0000 0.0000 0.0000
Gd1 0.5000 0.5000 0.3206
Gd2 0.5000 0.5000 0.6794
Pd1 0.0000 0.0000 0.5000

Summary:
Total DFT energy (no corrections) in Ha/atom: -0.3379
DOS(E_F) in states/eV/atom: 1.707
Energy relative to the lowest polymorph listed for this composition in meV/atom: 0.0
DFT formation energy in eV per atom: -0.354



7.
# CaGdPd

A relaxed structure of CaGdPd (GGA-PBE, Alexandria).

Cell lengths 6.9484, 6.9484, 6.9484 Å; angles 150.16, 150.16, 42.71 degrees
Atoms (fractional coordinates):
Ca1 0.0000 0.0000 0.0000
Gd1 0.2638 0.2638 0.0000
Pd1 0.6460 0.6460 0.0000

Summary:
Total DFT energy (no corrections) in Ha/atom: -0.2791
DOS(E_F) in states/eV/atom: 1.007
Energy relative to the lowest polymorph listed for this composition in meV/atom: 0.0
DFT formation energy in eV per atom: -0.502



8.
# CaGdPd

A relaxed structure of CaGdPd (GGA-PBE, Alexandria).

Cell lengths 4.9602, 4.9602, 4.9602 Å; angles 60.00, 60.00, 60.00 degrees
Atoms (fractional coordinates):
Ca1 0.0000 0.0000 0.0000
Gd1 0.5000 0.5000 0.5000
Pd1 0.7500 0.7500 0.7500

Summary:
Total DFT energy (no corrections) in Ha/atom: -0.2767
DOS(E_F) in states/eV/atom: 1.679
Energy relative to the lowest polymorph listed for this composition in meV/atom: 64.7
DFT formation energy in eV per atom: -0.437